Entry 1:
DFT (GGA-PBE) results for an optimized crystal structure of LaCd.

Unit cell a=10.8711 b=10.8711 c=4.0297 alpha=90.00 beta=90.00 gamma=90.00
With the nearest neighbours (Å) after each atom.
Fractional positions:
1 La 0.1512 0.1512 0.0000  4 La 3.29-3.64, 4 Cd 3.38
2 La 0.1512 0.8488 0.0000  4 La 3.29-3.64, 4 Cd 3.38
3 La 0.3488 0.3488 0.5000  4 La 3.29-3.64, 4 Cd 3.38
4 La 0.3488 0.6512 0.5000  4 La 3.29-3.64, 4 Cd 3.38
5 La 0.6512 0.3488 0.5000  4 La 3.29-3.64, 4 Cd 3.38
6 La 0.6512 0.6512 0.5000  4 La 3.29-3.64, 4 Cd 3.38
7 La 0.8488 0.1512 0.0000  4 La 3.29-3.64, 4 Cd 3.38
8 La 0.8488 0.8488 0.0000  4 La 3.29-3.64, 4 Cd 3.38
9 Cd 0.0000 0.3498 0.5000  5 Cd 3.06-3.27, 4 La 3.38
10 Cd 0.0000 0.6502 0.5000  5 Cd 3.06-3.27, 4 La 3.38
11 Cd 0.1502 0.5000 0.0000  5 Cd 3.06-3.27, 4 La 3.38
12 Cd 0.3498 0.0000 0.5000  5 Cd 3.06-3.27, 4 La 3.38
13 Cd 0.5000 0.1502 0.0000  5 Cd 3.06-3.27, 4 La 3.38
14 Cd 0.5000 0.8498 0.0000  5 Cd 3.06-3.27, 4 La 3.38
15 Cd 0.6502 0.0000 0.5000  5 Cd 3.06-3.27, 4 La 3.38
16 Cd 0.8498 0.5000 0.0000  5 Cd 3.06-3.27, 4 La 3.38

Properties
For the density of states at the Fermi level, the calculation gives 20.5 states/eV per cell. The value obtained for the total DFT energy (no corrections) is -3.06 eV per atom. The space group is I4/mmm, No. 139. Its crystal system is tetragonal. The formation energy comes out at -0.1364 eV per atom. The magnetization is 0.00 μB/cell.

Entry 2:
DFT (GGA-PBE) results for an optimized crystal structure of Li2La2Cd.

Unit cell a=5.9640 b=5.9640 c=7.8065 alpha=90.00 beta=90.00 gamma=90.00
With the nearest neighbours (Å) after each atom.
Fractional positions:
1 Li 0.0000 0.0000 0.1429  1 Li 2.23
2 Li 0.0000 0.0000 0.8571  1 Li 2.23
3 Li 0.5000 0.5000 0.3571  1 Li 2.23
4 Li 0.5000 0.5000 0.6429  1 Li 2.23
5 La 0.0000 0.5000 0.2500  4 Li 3.10
6 La 0.0000 0.5000 0.7500  4 Li 3.10
7 La 0.5000 0.0000 0.2500  4 Li 3.10
8 La 0.5000 0.0000 0.7500  4 Li 3.10
9 Cd 0.0000 0.0000 0.5000  2 Li 2.79
10 Cd 0.5000 0.5000 0.0000  2 Li 2.79

Properties
For the density of states at the Fermi level, the calculation gives 11.7 states/eV per cell. The value obtained for the total DFT energy (no corrections) is -2.81 eV per atom. The space group is I4/mmm, No. 139. Its crystal system is tetragonal. The formation energy comes out at 0.1063 eV per atom. The magnetization is 0.01 μB/cell.

Entry 3:
DFT (GGA-PBE) results for an optimized crystal structure of LiLa2Cd.

Unit cell a=3.3386 b=5.5797 c=13.6793 alpha=90.00 beta=90.00 gamma=90.00
With the nearest neighbours (Å) after each atom.
Fractional positions:
1 Li 0.0000 0.0000 0.0000  4 Cd 3.25, 2 Li 3.34, 2 La 3.60
2 Li 0.5000 0.5000 0.5000  4 Cd 3.25, 2 Li 3.34, 2 La 3.60
3 La 0.0000 0.0000 0.2635  1 Cd 3.23, 6 La 3.27-3.34, 1 Li 3.60
4 La 0.0000 0.0000 0.7365  1 Cd 3.23, 6 La 3.27-3.34, 1 Li 3.60
5 La 0.5000 0.5000 0.2365  1 Cd 3.23, 6 La 3.27-3.34, 1 Li 3.60
6 La 0.5000 0.5000 0.7635  1 Cd 3.23, 6 La 3.27-3.34, 1 Li 3.60
7 Cd 0.0000 0.0000 0.5000  2 La 3.23, 4 Li 3.25, 2 Cd 3.34
8 Cd 0.5000 0.5000 0.0000  2 La 3.23, 4 Li 3.25, 2 Cd 3.34

Properties
For the density of states at the Fermi level, the calculation gives 10.0 states/eV per cell. The value obtained for the total DFT energy (no corrections) is -2.91 eV per atom. The space group is Immm, No. 71. Its crystal system is orthorhombic. The formation energy comes out at 0.2561 eV per atom. The magnetization is 0.00 μB/cell.

Entry 4:
DFT (GGA-PBE) results for an optimized crystal structure of Li3LaCd.

Unit cell a=5.7339 b=5.7339 c=5.7339 alpha=90.00 beta=90.00 gamma=90.00
With the nearest neighbours (Å) after each atom.
Fractional positions:
1 Li 0.0000 0.0000 0.5000  2 La 2.87
2 Li 0.0000 0.5000 0.0000  2 La 2.87
3 Li 0.5000 0.0000 0.0000  2 La 2.87
4 La 0.0000 0.0000 0.0000  6 Li 2.87
5 Cd 0.5000 0.5000 0.5000  12 Li 4.05

Properties
For the density of states at the Fermi level, the calculation gives 4.3 states/eV per cell. The value obtained for the total DFT energy (no corrections) is -1.29 eV per atom. The space group is Pm-3m, No. 221. Its crystal system is cubic. The formation energy comes out at 1.0246 eV per atom. The magnetization is 2.57 μB/cell.

Entry 5:
DFT (GGA-PBE) results for an optimized crystal structure of Li12LaCd6.

Unit cell a=7.6016 b=7.6016 c=7.6016 alpha=101.54 beta=101.54 gamma=101.54
With the nearest neighbours (Å) after each atom.
Fractional positions:
1 Li 0.0000 0.3927 0.6073  1 Li 2.53, 4 Cd 2.60-2.76
2 Li 0.0000 0.6073 0.3927  1 Li 2.53, 4 Cd 2.60-2.76
3 Li 0.0697 0.0697 0.3434  4 Cd 2.95-3.17, 5 Li 3.05-3.22
4 Li 0.0697 0.3434 0.0697  4 Cd 2.95-3.17, 5 Li 3.05-3.22
5 Li 0.3434 0.0697 0.0697  4 Cd 2.95-3.17, 5 Li 3.05-3.22
6 Li 0.3927 0.0000 0.6073  1 Li 2.53, 4 Cd 2.60-2.76
7 Li 0.3927 0.6073 0.0000  1 Li 2.53, 4 Cd 2.60-2.76
8 Li 0.6073 0.0000 0.3927  1 Li 2.53, 4 Cd 2.60-2.76
9 Li 0.6073 0.3927 0.0000  1 Li 2.53, 4 Cd 2.60-2.76
10 Li 0.6566 0.9303 0.9303  4 Cd 2.95-3.17, 5 Li 3.05-3.22
11 Li 0.9303 0.6566 0.9303  4 Cd 2.95-3.17, 5 Li 3.05-3.22
12 Li 0.9303 0.9303 0.6566  4 Cd 2.95-3.17, 5 Li 3.05-3.22
13 La 0.5000 0.5000 0.5000  6 Cd 3.58, 18 Li 3.93-4.01
14 Cd 0.2302 0.7448 0.7448  4 Li 2.60-2.76
15 Cd 0.2552 0.2552 0.7698  4 Li 2.60-2.76
16 Cd 0.2552 0.7698 0.2552  4 Li 2.60-2.76
17 Cd 0.7448 0.2302 0.7448  4 Li 2.60-2.76
18 Cd 0.7448 0.7448 0.2302  4 Li 2.60-2.76
19 Cd 0.7698 0.2552 0.2552  4 Li 2.60-2.76

Properties
For the density of states at the Fermi level, the calculation gives 11.6 states/eV per cell. The value obtained for the total DFT energy (no corrections) is -1.84 eV per atom. The space group is R-3m, No. 166. Its crystal system is trigonal. The formation energy comes out at -0.0879 eV per atom. The magnetization is 0.00 μB/cell.

Entry 6:
DFT (GGA-PBE) results for an optimized crystal structure of LiLa2Cd.

Unit cell a=3.8035 b=3.8035 c=8.0439 alpha=90.00 beta=90.00 gamma=90.00
With the nearest neighbours (Å) after each atom.
Fractional positions:
1 Li 0.0000 0.0000 0.0000  4 Cd 2.99
2 La 0.0000 0.0000 0.4217  1 Li 3.39, 4 Cd 3.41, 4 La 3.66
3 La 0.5000 0.5000 0.7296  4 Li 3.46, 1 Cd 3.48, 8 La 3.66-3.80
4 Cd 0.5000 0.5000 0.1620  4 Li 2.99

Properties
For the density of states at the Fermi level, the calculation gives 5.3 states/eV per cell. The value obtained for the total DFT energy (no corrections) is -3.27 eV per atom. The space group is P4mm, No. 99. Its crystal system is tetragonal. The formation energy comes out at -0.1022 eV per atom. The magnetization is 0.10 μB/cell.

Entry 7:
DFT (GGA-PBE) results for an optimized crystal structure of Li2LaCd6.

Unit cell a=8.8230 b=8.8230 c=3.1611 alpha=90.00 beta=90.00 gamma=120.00
With the nearest neighbours (Å) after each atom.
Fractional positions:
1 Li 0.3333 0.6667 0.0000  2 Li 3.16, 12 Cd 3.31
2 Li 0.6667 0.3333 0.0000  2 Li 3.16, 12 Cd 3.31
3 La 0.0000 0.0000 0.0000  2 La 3.16, 12 Cd 3.40
4 Cd 0.0000 0.3409 0.5000  3 Cd 2.81-3.01
5 Cd 0.0000 0.6591 0.5000  3 Cd 2.81-3.01
6 Cd 0.3409 0.0000 0.5000  3 Cd 2.81-3.01
7 Cd 0.3409 0.3409 0.5000  3 Cd 2.81-3.01
8 Cd 0.6591 0.0000 0.5000  3 Cd 2.81-3.01
9 Cd 0.6591 0.6591 0.5000  3 Cd 2.81-3.01

Properties
For the density of states at the Fermi level, the calculation gives 4.8 states/eV per cell. The value obtained for the total DFT energy (no corrections) is -1.78 eV per atom. The space group is P6/mmm, No. 191. Its crystal system is hexagonal. The formation energy comes out at -0.1954 eV per atom. The magnetization is 0.00 μB/cell.

Entry 8:
DFT (GGA-PBE) results for an optimized crystal structure of Li4LaCd12.

Unit cell a=8.1530 b=8.1530 c=8.1530 alpha=109.47 beta=109.47 gamma=109.47
With the nearest neighbours (Å) after each atom.
Fractional positions:
1 Li 0.0000 0.0000 0.5000  6 Cd 2.66
2 Li 0.0000 0.5000 0.0000  6 Cd 2.66
3 Li 0.5000 0.0000 0.0000  6 Cd 2.66
4 Li 0.5000 0.5000 0.5000  6 Cd 2.66
5 La 0.0000 0.0000 0.0000  12 Cd 3.57
6 Cd 0.1583 0.3450 0.5033  2 Li 2.66, 2 Cd 2.92-2.98
7 Cd 0.1583 0.6550 0.8132  2 Li 2.66, 2 Cd 2.92-2.98
8 Cd 0.1868 0.8417 0.3450  2 Li 2.66, 2 Cd 2.92-2.98
9 Cd 0.3450 0.1868 0.8417  2 Li 2.66, 2 Cd 2.92-2.98
10 Cd 0.3450 0.5033 0.1583  2 Li 2.66, 2 Cd 2.92-2.98
11 Cd 0.4967 0.8417 0.6550  2 Li 2.66, 2 Cd 2.92-2.98
12 Cd 0.5033 0.1583 0.3450  2 Li 2.66, 2 Cd 2.92-2.98
13 Cd 0.6550 0.4967 0.8417  2 Li 2.66, 2 Cd 2.92-2.98
14 Cd 0.6550 0.8132 0.1583  2 Li 2.66, 2 Cd 2.92-2.98
15 Cd 0.8132 0.1583 0.6550  2 Li 2.66, 2 Cd 2.92-2.98
16 Cd 0.8417 0.3450 0.1868  2 Li 2.66, 2 Cd 2.92-2.98
17 Cd 0.8417 0.6550 0.4967  2 Li 2.66, 2 Cd 2.92-2.98

Properties
For the density of states at the Fermi level, the calculation gives 10.5 states/eV per cell. The value obtained for the total DFT energy (no corrections) is -1.35 eV per atom. The space group is Im-3, No. 204. Its crystal system is cubic. The formation energy comes out at 0.0348 eV per atom. The magnetization is 0.00 μB/cell.

Entry 9:
DFT (GGA-PBE) results for an optimized crystal structure of Li2LaCd.

Unit cell a=3.3386 b=3.3386 c=30.9366 alpha=90.00 beta=90.00 gamma=120.00
With the nearest neighbours (Å) after each atom.
Fractional positions:
1 Li 0.0000 0.0000 0.0000  3 Cd 2.93
2 Li 0.0000 0.0000 0.1907  3 Cd 2.93
3 Li 0.3333 0.6667 0.6667  3 Cd 2.93
4 Li 0.3333 0.6667 0.8574  3 Cd 2.93
5 Li 0.6667 0.3333 0.3333  3 Cd 2.93
6 Li 0.6667 0.3333 0.5240  3 Cd 2.93
7 La 0.0000 0.0000 0.4285  6 La 3.34, 6 Li 3.52-3.53
8 La 0.3333 0.6667 0.0951  6 La 3.34, 6 Li 3.52-3.53
9 La 0.6667 0.3333 0.7618  6 La 3.34, 6 Li 3.52-3.53
10 Cd 0.0000 0.0000 0.5953  6 Li 2.93
11 Cd 0.3333 0.6667 0.2620  6 Li 2.93
12 Cd 0.6667 0.3333 0.9286  6 Li 2.93

Properties
For the density of states at the Fermi level, the calculation gives 8.8 states/eV per cell. The value obtained for the total DFT energy (no corrections) is -2.41 eV per atom. The space group is R3m, No. 160. Its crystal system is trigonal. The formation energy comes out at 0.0101 eV per atom. The magnetization is 0.00 μB/cell.

Entry 10:
DFT (GGA-PBE) results for an optimized crystal structure of LiLa3Cd2.

Unit cell a=5.4818 b=16.4379 c=4.0176 alpha=90.00 beta=90.00 gamma=90.00
With the nearest neighbours (Å) after each atom.
Fractional positions:
1 Li 0.0000 0.0000 0.0000  8 La 3.40-3.41
2 Li 0.5000 0.5000 0.0000  8 La 3.40-3.41
3 La 0.0000 0.1676 0.5000  6 Cd 3.40-3.43, 2 Li 3.41
4 La 0.0000 0.5000 0.5000  4 Cd 3.35, 4 Li 3.40
5 La 0.0000 0.8324 0.5000  6 Cd 3.40-3.43, 2 Li 3.41
6 La 0.5000 0.0000 0.5000  4 Cd 3.35, 4 Li 3.40
7 La 0.5000 0.3324 0.5000  6 Cd 3.40-3.43, 2 Li 3.41
8 La 0.5000 0.6676 0.5000  6 Cd 3.40-3.43, 2 Li 3.41
9 Cd 0.0000 0.3369 0.0000  8 La 3.35-3.43
10 Cd 0.0000 0.6631 0.0000  8 La 3.35-3.43
11 Cd 0.5000 0.1631 0.0000  8 La 3.35-3.43
12 Cd 0.5000 0.8369 0.0000  8 La 3.35-3.43

Properties
For the density of states at the Fermi level, the calculation gives 16.5 states/eV per cell. The value obtained for the total DFT energy (no corrections) is -3.29 eV per atom. The space group is Cmmm, No. 65. Its crystal system is orthorhombic. The formation energy comes out at -0.2004 eV per atom. The magnetization is 0.05 μB/cell.

Entry 11:
DFT (GGA-PBE) results for an optimized crystal structure of LiLa2Cd16.

Unit cell a=7.6968 b=7.6968 c=7.6968 alpha=82.21 beta=82.21 gamma=82.21
With the nearest neighbours (Å) after each atom.
Fractional positions:
1 Li 0.0000 0.0000 0.0000  10 Cd 2.98-3.28
2 La 0.2423 0.2423 0.2423  18 Cd 3.58-3.96, 1 Li 3.64
3 La 0.5725 0.5725 0.5725  13 Cd 3.45-3.76
4 Cd 0.0663 0.5493 0.5493  8 Cd 2.88-3.21
5 Cd 0.2035 0.6141 0.9081  8 Cd 2.93-3.21
6 Cd 0.2035 0.9081 0.6141  8 Cd 2.93-3.21
7 Cd 0.2673 0.2673 0.7493  8 Cd 2.88-3.20
8 Cd 0.2673 0.7493 0.2673  8 Cd 2.88-3.20
9 Cd 0.3956 0.9158 0.9158  9 Cd 2.93-3.17, 1 Li 3.03
10 Cd 0.5493 0.0663 0.5493  8 Cd 2.88-3.21
11 Cd 0.5493 0.5493 0.0663  8 Cd 2.88-3.21
12 Cd 0.6141 0.2035 0.9081  8 Cd 2.93-3.21
13 Cd 0.6141 0.9081 0.2035  8 Cd 2.93-3.21
14 Cd 0.7493 0.2673 0.2673  8 Cd 2.88-3.20
15 Cd 0.8020 0.8020 0.8020  1 Li 2.98, 6 Cd 3.17-3.25
16 Cd 0.9081 0.2035 0.6141  8 Cd 2.93-3.21
17 Cd 0.9081 0.6141 0.2035  8 Cd 2.93-3.21
18 Cd 0.9158 0.3956 0.9158  9 Cd 2.93-3.17, 1 Li 3.03
19 Cd 0.9158 0.9158 0.3956  9 Cd 2.93-3.17, 1 Li 3.03

Properties
For the density of states at the Fermi level, the calculation gives 6.3 states/eV per cell. The value obtained for the total DFT energy (no corrections) is -1.60 eV per atom. The space group is R3m, No. 160. Its crystal system is trigonal. The formation energy comes out at -0.2051 eV per atom. The magnetization is 0.00 μB/cell.

Entry 12:
DFT (GGA-PBE) results for an optimized crystal structure of Li2LaCd.

Unit cell a=3.5370 b=3.5370 c=7.5667 alpha=90.00 beta=90.00 gamma=90.00
With the nearest neighbours (Å) after each atom.
Fractional positions:
1 Li 0.0000 0.0000 0.1883  1 Li 2.85, 4 Cd 2.88
2 Li 0.0000 0.0000 0.8117  1 Li 2.85, 4 Cd 2.88
3 La 0.5000 0.5000 0.5000  8 Li 3.44, 4 La 3.54, 2 Cd 3.78
4 Cd 0.5000 0.5000 0.0000  8 Li 2.88

Properties
For the density of states at the Fermi level, the calculation gives 3.8 states/eV per cell. The value obtained for the total DFT energy (no corrections) is -2.48 eV per atom. The space group is P4/mmm, No. 123. Its crystal system is tetragonal. The formation energy comes out at -0.0633 eV per atom. The magnetization is 0.02 μB/cell.

The highest magnetization belongs to which entry?
Li3LaCd

The highest formation energy belongs to which entry?
Li3LaCd

Which of these has the highest formation energy?
Li3LaCd

Please write out number 6 again, unchanged.
DFT (GGA-PBE) results for an optimized crystal structure of LiLa2Cd.

Unit cell a=3.8035 b=3.8035 c=8.0439 alpha=90.00 beta=90.00 gamma=90.00
With the nearest neighbours (Å) after each atom.
Fractional positions:
1 Li 0.0000 0.0000 0.0000  4 Cd 2.99
2 La 0.0000 0.0000 0.4217  1 Li 3.39, 4 Cd 3.41, 4 La 3.66
3 La 0.5000 0.5000 0.7296  4 Li 3.46, 1 Cd 3.48, 8 La 3.66-3.80
4 Cd 0.5000 0.5000 0.1620  4 Li 2.99

Properties
For the density of states at the Fermi level, the calculation gives 5.3 states/eV per cell. The value obtained for the total DFT energy (no corrections) is -3.27 eV per atom. The space group is P4mm, No. 99. Its crystal system is tetragonal. The formation energy comes out at -0.1022 eV per atom. The magnetization is 0.10 μB/cell.